ScCr3F: optimized geometry, PBE with a Hubbard U.

Results
* relative energy among the computed polymorphs: 0.0 kJ/mol of formula units
* size of the total moment: 13.24 μB/f.u.
* uncorrected energy: -30.42 eV/cell
* DOS at the Fermi energy: 3.44 states/eV/cell

Unit cell a=4.5764 b=4.5764 c=4.5764 alpha=90.00 beta=90.00 gamma=90.00
With the nearest neighbours (Å) after each atom.
Space group Pm-3m (No. 221)
Symmetry-distinct sites (fractional):
Sc  0.0000  0.0000  0.0000 [1 per cell]  12 Cr 3.24
Cr  0.0000  0.5000  0.5000 [3 per cell]  2 F 2.29
F  0.5000  0.5000  0.5000 [1 per cell]  6 Cr 2.29